Density functional theory data (PBEsol) for a relaxed structure of ScCdSe2.

Cell lengths 3.461, 3.471, 6.828 Å; angles 90.00, 95.75, 90.00 degrees
Sites, in units of the cell vectors:
Sc  0.000  0.000  0.000
Cd  0.000  0.000  0.500
Se  0.415  0.500  0.776
Se  0.585  0.500  0.224

Space group   P2/m, No. 10
Uncorrected formation energy   -0.90 eV/atom
Calculated volume   82 Å³/f.u.
Raw total energy   -4.7762 eV per atom